# RbCaVTePdF

A relaxed structure of RbCaVTePdF (PBE+U, Alexandria via LeMat-Bulk).

Computed properties:
The value obtained for the density is 4.18 Mg/m³. For the density of states at the Fermi level, the calculation gives 0.09 states/eV per atom. As for the energy: -4.45 eV per atom. Its offset from the most stable computed form is 0 meV per atom.

Unit cell a=5.7667 b=4.8031 c=12.9833 alpha=90.00 beta=108.40 gamma=90.00
Element x y z (fractional)
V  0.3366  0.0000  0.5749
Pd  0.5666  0.0000  0.1413
Ca  0.1674  0.5000  0.7328
Pd  0.5666  0.5000  0.6413
Te  0.8577  0.0000  0.6141
Te  0.8577  0.5000  0.1141
V  0.3366  0.5000  0.0749
Rb  0.8319  0.0000  0.8962
Rb  0.8319  0.5000  0.3962
F  0.1791  0.5000  0.9035
F  0.1791  0.0000  0.4035
Ca  0.1674  0.0000  0.2328